No. 1
Below is Sr3SiI after structural relaxation, with properties calculated at the PBE level.

abc: 6.102 6.102 6.102
angles: 90.00 90.00 90.00
Atoms (fractional coordinates):
Si 0.000 0.000 0.000
I 0.500 0.500 0.500
Sr 0.000 0.000 0.500
Sr 0.500 0.000 0.000
Sr 0.000 0.500 0.000

Output
**Raw formation energy**: -0.50 eV/atom
**Space group**: Pm-3m, No. 221
**ρ**: 3.1 g/cm3

---

No. 2
Below is SrSiI3 after structural relaxation, with properties calculated at the PBE level.

abc: 6.340 6.340 6.340
angles: 90.00 90.00 90.00
Atoms (fractional coordinates):
Si 0.500 0.500 0.500
I 0.000 0.000 0.500
I 0.000 0.500 0.000
I 0.500 0.000 0.000
Sr 0.000 0.000 0.000

Output
**Raw formation energy**: -0.19 eV/atom
**Space group**: Pm-3m, No. 221
**ρ**: 3.2 g/cm3